The following is a GGA-PBE calculation of crystalline Tl2AsPbCl6 at its relaxed geometry, from the Alexandria database.

Lattice parameters (Å, degrees): 7.676 7.874 7.956 114.47 117.27 90.77
Positions (direct):
Tl: 0.000 0.000 0.000
Tl: 0.417 0.643 0.016
As: 0.647 0.261 0.376
Pb: 0.132 0.748 0.386
Cl: 0.301 0.922 0.838
Cl: 0.404 0.992 0.405
Cl: 0.414 0.444 0.364
Cl: 0.792 0.391 0.248
Cl: 0.862 0.966 0.334
Cl: 0.976 0.589 0.932

Computed properties:
Spin magnetization   0.10 μB per atom
Raw formation energy   -0.822 eV/atom
Symmetry   P1
Crystal system   triclinic